i:
# Sb2HAu | the Alexandria database | PBE | relaxed
# - Calculated volume: 19.4 Å³ per atom
# - Total magnetization: 0.000 μB per formula unit
data_Sb2HAu
_symmetry_space_group_name_H-M 'P 1'
_symmetry_Int_Tables_number 1
_symmetry_space_group_name_Hall 'P 1'
_cell_length_a 6.8793
_cell_length_b 6.8793
_cell_length_c 5.8635
_cell_angle_alpha 54.08
_cell_angle_beta 54.08
_cell_angle_gamma 90.00
loop_
_atom_site_label
_atom_site_type_symbol
_atom_site_fract_x
_atom_site_fract_y
_atom_site_fract_z
Sb1 Sb 0.5553 0.1250 0.2500
Sb2 Sb 0.3750 0.4447 0.7500
Sb3 Sb 0.1947 0.6250 0.2500
Sb4 Sb 0.8750 0.8053 0.7500
Au1 Au 0.7500 0.2500 0.5000
Au2 Au 0.0000 0.0000 0.0000
H1 H 0.2500 0.7500 0.5000
H2 H 0.5000 0.5000 0.0000

---

ii:
# Sb2HAu | the Alexandria database | PBE | relaxed
# - Calculated volume: 19.3 Å³ per atom
# - Total magnetization: 0.000 μB per formula unit
data_Sb2HAu
_symmetry_space_group_name_H-M 'P 1'
_symmetry_Int_Tables_number 1
_symmetry_space_group_name_Hall 'P 1'
_cell_length_a 4.7787
_cell_length_b 4.7787
_cell_length_c 4.7787
_cell_angle_alpha 60.00
_cell_angle_beta 60.00
_cell_angle_gamma 60.00
loop_
_atom_site_label
_atom_site_type_symbol
_atom_site_fract_x
_atom_site_fract_y
_atom_site_fract_z
H1 H 0.0000 0.0000 0.0000
Au1 Au 0.5000 0.5000 0.5000
Sb1 Sb 0.7500 0.7500 0.7500
Sb2 Sb 0.2500 0.2500 0.2500

---

iii:
# Sb2HAu | the Alexandria database | PBE | relaxed
# - Calculated volume: 26.4 Å³ per atom
# - Total magnetization: 0.000 μB per formula unit
data_Sb2HAu
_symmetry_space_group_name_H-M 'P 1'
_symmetry_Int_Tables_number 1
_symmetry_space_group_name_Hall 'P 1'
_cell_length_a 4.3381
_cell_length_b 4.3381
_cell_length_c 6.9497
_cell_angle_alpha 71.81
_cell_angle_beta 71.81
_cell_angle_gamma 60.00
loop_
_atom_site_label
_atom_site_type_symbol
_atom_site_fract_x
_atom_site_fract_y
_atom_site_fract_z
Sb1 Sb 0.1024 0.1024 0.6929
Sb2 Sb 0.8976 0.8976 0.3071
H1 H 0.0000 0.0000 0.0000
Au1 Au 0.5000 0.5000 0.5000

---

Most stable = iii

---

i:
# SbH2Au2 | the Alexandria database | PBE | relaxed
# - Calculated volume: 14.4 Å³ per atom
# - Total magnetization: 0.000 μB per formula unit
data_SbH2Au2
_symmetry_space_group_name_H-M 'P 1'
_symmetry_Int_Tables_number 1
_symmetry_space_group_name_Hall 'P 1'
_cell_length_a 3.3576
_cell_length_b 3.3576
_cell_length_c 6.8039
_cell_angle_alpha 75.72
_cell_angle_beta 75.72
_cell_angle_gamma 90.00
loop_
_atom_site_label
_atom_site_type_symbol
_atom_site_fract_x
_atom_site_fract_y
_atom_site_fract_z
H1 H 0.7500 0.2500 0.5000
H2 H 0.2500 0.7500 0.5000
Au1 Au 0.6574 0.6574 0.6852
Au2 Au 0.3426 0.3426 0.3148
Sb1 Sb 0.0000 0.0000 0.0000

---

ii:
# SbH2Au2 | the Alexandria database | PBE | relaxed
# - Calculated volume: 15.2 Å³ per atom
# - Total magnetization: 0.000 μB per formula unit
data_SbH2Au2
_symmetry_space_group_name_H-M 'P 1'
_symmetry_Int_Tables_number 1
_symmetry_space_group_name_Hall 'P 1'
_cell_length_a 6.4212
_cell_length_b 6.4212
_cell_length_c 3.6853
_cell_angle_alpha 90.00
_cell_angle_beta 90.00
_cell_angle_gamma 90.00
loop_
_atom_site_label
_atom_site_type_symbol
_atom_site_fract_x
_atom_site_fract_y
_atom_site_fract_z
H1 H 0.5416 0.0416 0.0000
H2 H 0.4584 0.9584 0.0000
H3 H 0.9584 0.5416 0.0000
H4 H 0.0416 0.4584 0.0000
Au1 Au 0.2480 0.2520 0.5000
Au2 Au 0.7520 0.7480 0.5000
Au3 Au 0.2520 0.7520 0.5000
Au4 Au 0.7480 0.2480 0.5000
Sb1 Sb 0.0000 0.0000 0.0000
Sb2 Sb 0.5000 0.5000 0.0000

---

Most stable = ii

---

i:
# Sb3HAu | the Alexandria database | PBE | relaxed
# - Calculated volume: 32.7 Å³ per atom
# - Total magnetization: 1.168 μB per formula unit
data_Sb3HAu
_symmetry_space_group_name_H-M 'P 1'
_symmetry_Int_Tables_number 1
_symmetry_space_group_name_Hall 'P 1'
_cell_length_a 5.4663
_cell_length_b 5.4663
_cell_length_c 5.4663
_cell_angle_alpha 90.00
_cell_angle_beta 90.00
_cell_angle_gamma 90.00
loop_
_atom_site_label
_atom_site_type_symbol
_atom_site_fract_x
_atom_site_fract_y
_atom_site_fract_z
Sb1 Sb 0.0000 0.0000 0.5000
Sb2 Sb 0.5000 0.0000 0.0000
Sb3 Sb 0.0000 0.5000 0.0000
H1 H 0.5000 0.5000 0.5000
Au1 Au 0.0000 0.0000 0.0000

---

ii:
# Sb3HAu | the Alexandria database | PBE | relaxed
# - Calculated volume: 20.8 Å³ per atom
# - Total magnetization: 0.000 μB per formula unit
data_Sb3HAu
_symmetry_space_group_name_H-M 'P 1'
_symmetry_Int_Tables_number 1
_symmetry_space_group_name_Hall 'P 1'
_cell_length_a 4.7064
_cell_length_b 4.7064
_cell_length_c 4.7064
_cell_angle_alpha 90.00
_cell_angle_beta 90.00
_cell_angle_gamma 90.00
loop_
_atom_site_label
_atom_site_type_symbol
_atom_site_fract_x
_atom_site_fract_y
_atom_site_fract_z
Sb1 Sb 0.0000 0.0000 0.5000
Sb2 Sb 0.0000 0.5000 0.0000
Sb3 Sb 0.5000 0.0000 0.0000
H1 H 0.0000 0.0000 0.0000
Au1 Au 0.5000 0.5000 0.5000

---

Most stable = ii

---

i:
# Sb2TeHAu | the Alexandria database | PBE | relaxed
# - Calculated volume: 33.1 Å³ per atom
# - Total magnetization: 0.995 μB per formula unit
data_Sb2TeHAu
_symmetry_space_group_name_H-M 'P 1'
_symmetry_Int_Tables_number 1
_symmetry_space_group_name_Hall 'P 1'
_cell_length_a 5.4365
_cell_length_b 5.4365
_cell_length_c 5.6021
_cell_angle_alpha 90.00
_cell_angle_beta 90.00
_cell_angle_gamma 90.00
loop_
_atom_site_label
_atom_site_type_symbol
_atom_site_fract_x
_atom_site_fract_y
_atom_site_fract_z
Te1 Te 0.0000 0.0000 0.5000
Sb1 Sb 0.5000 0.0000 0.0000
Sb2 Sb 0.0000 0.5000 0.0000
Au1 Au 0.0000 0.0000 0.0000
H1 H 0.5000 0.5000 0.5000

---

ii:
# Sb2TeHAu | the Alexandria database | PBE | relaxed
# - Calculated volume: 21.1 Å³ per atom
# - Total magnetization: 0.000 μB per formula unit
data_Sb2TeHAu
_symmetry_space_group_name_H-M 'P 1'
_symmetry_Int_Tables_number 1
_symmetry_space_group_name_Hall 'P 1'
_cell_length_a 4.7133
_cell_length_b 4.7133
_cell_length_c 4.7509
_cell_angle_alpha 90.00
_cell_angle_beta 90.00
_cell_angle_gamma 90.00
loop_
_atom_site_label
_atom_site_type_symbol
_atom_site_fract_x
_atom_site_fract_y
_atom_site_fract_z
H1 H 0.0000 0.0000 0.0000
Au1 Au 0.5000 0.5000 0.5000
Sb1 Sb 0.5000 0.0000 0.0000
Sb2 Sb 0.0000 0.5000 0.0000
Te1 Te 0.0000 0.0000 0.5000

---

Most stable = ii